The following is a DFT calculation (PBE-GGA) of a relaxed Pr4Nd3ScS8 crystal.

a = 8.1076 Å, b = 8.1076 Å, c = 8.1076 Å
α = 59.83°, β = 59.83°, γ = 59.83°
Last column: nearest neighbours and their distance in Å.
Fractional coordinates of all 16 atoms:
Pr1 0.0000 0.0000 0.0000  6 S 3.01
Pr2 0.0000 0.5000 0.5000  6 S 2.88
Pr3 0.5000 0.0000 0.5000  6 S 2.88
Pr4 0.5000 0.5000 0.0000  6 S 2.88
Nd1 0.0000 0.0000 0.5000  6 S 2.85
Nd2 0.0000 0.5000 0.0000  6 S 2.85
Nd3 0.5000 0.0000 0.0000  6 S 2.85
Sc1 0.5000 0.5000 0.5000  6 S 2.72
S1 0.2489 0.2489 0.2489  3 Nd 2.85, 3 Pr 2.88
S2 0.2605 0.7374 0.7374  1 Sc 2.72, 2 Nd 2.85, 3 Pr 2.88-3.01
S3 0.2626 0.2626 0.7395  1 Sc 2.72, 2 Nd 2.85, 3 Pr 2.88-3.01
S4 0.2626 0.7395 0.2626  1 Sc 2.72, 2 Nd 2.85, 3 Pr 2.88-3.01
S5 0.7374 0.2605 0.7374  1 Sc 2.72, 2 Nd 2.85, 3 Pr 2.88-3.01
S6 0.7374 0.7374 0.2605  1 Sc 2.72, 2 Nd 2.85, 3 Pr 2.88-3.01
S7 0.7395 0.2626 0.2626  1 Sc 2.72, 2 Nd 2.85, 3 Pr 2.88-3.01
S8 0.7511 0.7511 0.7511  3 Nd 2.85, 3 Pr 2.88

Results
Formation energy without anion corrections   -1976 meV/atom
Total DFT energy (no corrections)   -104.40 eV per formula unit

---

The following is a DFT calculation (PBE-GGA) of a relaxed Pr2Nd2Se3S2 crystal.

a = 8.3451 Å, b = 8.3451 Å, c = 8.3451 Å
α = 139.38°, β = 139.38°, γ = 58.79°
Last column: nearest neighbours and their distance in Å.
Fractional coordinates of all 9 atoms:
Pr1 0.2150 0.2150 0.0000  1 S 2.74, 4 Se 2.94
Pr2 0.7850 0.7850 0.0000  1 S 2.74, 4 Se 2.94
Nd1 0.0000 0.5000 0.5000  2 Se 2.90, 4 S 3.22
Nd2 0.5000 0.0000 0.5000  2 Se 2.90, 4 S 3.22
Se1 0.0000 0.0000 0.0000  4 Nd 2.90, 2 Pr 3.13
Se2 0.2500 0.7500 0.5000  4 Pr 2.94
Se3 0.7500 0.2500 0.5000  4 Pr 2.94
S1 0.4033 0.4033 0.0000  1 Pr 2.74, 1 S 2.81
S2 0.5967 0.5967 0.0000  1 Pr 2.74, 1 S 2.81

Results
Formation energy without anion corrections   -1626 meV/atom
Total DFT energy (no corrections)   -52.43 eV per formula unit

---

The following is a DFT calculation (PBE-GGA) of a relaxed PrNdSeS crystal.

a = 7.2576 Å, b = 7.2576 Å, c = 7.2576 Å
α = 33.32°, β = 33.32°, γ = 33.32°
Last column: nearest neighbours and their distance in Å.
Fractional coordinates of all 4 atoms:
Pr1 0.0000 0.0000 0.0000  3 S 2.87, 3 Se 3.06
Nd1 0.5155 0.5155 0.5155  3 S 2.85, 3 Se 3.03
Se1 0.7587 0.7587 0.7587  3 Nd 3.03, 3 Pr 3.06
S1 0.2566 0.2566 0.2566  3 Nd 2.85, 3 Pr 2.87

Results
Formation energy without anion corrections   -1943 meV/atom
Total DFT energy (no corrections)   -24.93 eV per formula unit

---

The following is a DFT calculation (PBE-GGA) of a relaxed Pr2NdSmS4 crystal.

a = 7.0716 Å, b = 4.0377 Å, c = 7.0819 Å
α = 90.00°, β = 109.08°, γ = 90.00°
Last column: nearest neighbours and their distance in Å.
Fractional coordinates of all 8 atoms:
Pr1 0.0000 0.0000 0.0000  6 S 2.92
Pr2 0.5000 0.5000 0.0000  6 S 2.89-2.90
Nd1 0.0000 0.5000 0.5000  6 S 2.87
Sm1 0.5000 0.0000 0.5000  6 S 2.84-2.85
S1 0.2508 0.0000 0.7447  1 Sm 2.85, 2 Nd 2.87, 3 Pr 2.89-2.92
S2 0.2550 0.5000 0.2572  2 Sm 2.84, 1 Nd 2.87, 3 Pr 2.90-2.92
S3 0.7450 0.5000 0.7428  2 Sm 2.84, 1 Nd 2.87, 3 Pr 2.90-2.92
S4 0.7492 0.0000 0.2553  1 Sm 2.85, 2 Nd 2.87, 3 Pr 2.89-2.92

Results
Formation energy without anion corrections   -2021 meV/atom
Total DFT energy (no corrections)   -51.72 eV per formula unit

---

The following is a DFT calculation (PBE-GGA) of a relaxed Pr3Nd3SmS8 crystal.

a = 8.1593 Å, b = 8.1593 Å, c = 8.1593 Å
α = 59.89°, β = 59.89°, γ = 59.89°
Last column: nearest neighbours and their distance in Å.
Fractional coordinates of all 15 atoms:
Pr1 0.0000 0.5000 0.5000  6 S 2.89
Pr2 0.5000 0.0000 0.5000  6 S 2.89
Pr3 0.5000 0.5000 0.0000  6 S 2.89
Nd1 0.0000 0.0000 0.5000  6 S 2.87
Nd2 0.0000 0.5000 0.0000  6 S 2.87
Nd3 0.5000 0.0000 0.0000  6 S 2.87
Sm1 0.5000 0.5000 0.5000  6 S 2.84
S1 0.2490 0.2490 0.2490  3 Nd 2.87, 3 Pr 2.89
S2 0.2516 0.7464 0.7464  1 Sm 2.84, 2 Nd 2.87, 2 Pr 2.89
S3 0.2536 0.2536 0.7484  1 Sm 2.84, 2 Nd 2.87, 2 Pr 2.89
S4 0.2536 0.7484 0.2536  1 Sm 2.84, 2 Nd 2.87, 2 Pr 2.89
S5 0.7464 0.2516 0.7464  1 Sm 2.84, 2 Nd 2.87, 2 Pr 2.89
S6 0.7464 0.7464 0.2516  1 Sm 2.84, 2 Nd 2.87, 2 Pr 2.89
S7 0.7484 0.2536 0.2536  1 Sm 2.84, 2 Nd 2.87, 2 Pr 2.89
S8 0.7510 0.7510 0.7510  3 Nd 2.87, 3 Pr 2.89

Results
Formation energy without anion corrections   -2042 meV/atom
Total DFT energy (no corrections)   -97.01 eV per formula unit

---

The following is a DFT calculation (PBE-GGA) of a relaxed Pr3NdSm3S8 crystal.

a = 8.1196 Å, b = 8.1196 Å, c = 8.1196 Å
α = 59.73°, β = 59.73°, γ = 59.73°
Last column: nearest neighbours and their distance in Å.
Fractional coordinates of all 15 atoms:
Pr1 0.0000 0.5000 0.5000  6 S 2.90
Pr2 0.5000 0.0000 0.5000  6 S 2.90
Pr3 0.5000 0.5000 0.0000  6 S 2.90
Nd1 0.5000 0.5000 0.5000  6 S 2.87
Sm1 0.0000 0.0000 0.5000  6 S 2.83
Sm2 0.0000 0.5000 0.0000  6 S 2.83
Sm3 0.5000 0.0000 0.0000  6 S 2.83
S1 0.2439 0.7505 0.7505  2 Sm 2.83, 1 Nd 2.87, 2 Pr 2.90
S2 0.2472 0.2472 0.2472  3 Sm 2.83, 3 Pr 2.90
S3 0.2495 0.2495 0.7561  2 Sm 2.83, 1 Nd 2.87, 2 Pr 2.90
S4 0.2495 0.7561 0.2495  2 Sm 2.83, 1 Nd 2.87, 2 Pr 2.90
S5 0.7505 0.2439 0.7505  2 Sm 2.83, 1 Nd 2.87, 2 Pr 2.90
S6 0.7505 0.7505 0.2439  2 Sm 2.83, 1 Nd 2.87, 2 Pr 2.90
S7 0.7528 0.7528 0.7528  3 Sm 2.83, 3 Pr 2.90
S8 0.7561 0.2495 0.2495  2 Sm 2.83, 1 Nd 2.87, 2 Pr 2.90

Results
Formation energy without anion corrections   -2039 meV/atom
Total DFT energy (no corrections)   -96.87 eV per formula unit

---

The following is a DFT calculation (PBE-GGA) of a relaxed PrNd2Sm3S6 crystal.

a = 7.0072 Å, b = 7.0072 Å, c = 7.0130 Å
α = 99.56°, β = 99.56°, γ = 120.16°
Last column: nearest neighbours and their distance in Å.
Fractional coordinates of all 12 atoms:
Pr1 0.0000 0.0000 0.0000  6 S 2.89-2.90
Nd1 0.3334 0.6666 0.0000  6 S 2.88
Nd2 0.6666 0.3334 0.0000  6 S 2.88
Sm1 0.1660 0.8340 0.5000  6 S 2.83-2.84
Sm2 0.5000 0.5000 0.5000  6 S 2.82-2.84
Sm3 0.8340 0.1660 0.5000  6 S 2.83-2.84
S1 0.0856 0.4207 0.2567  3 Sm 2.83-2.84, 2 Nd 2.88, 1 Pr 2.90
S2 0.2496 0.2496 0.7438  3 Sm 2.82-2.84, 2 Nd 2.88, 1 Pr 2.89
S3 0.4207 0.0856 0.2567  3 Sm 2.83-2.84, 2 Nd 2.88, 1 Pr 2.90
S4 0.5793 0.9144 0.7433  3 Sm 2.83-2.84, 2 Nd 2.88, 1 Pr 2.90
S5 0.7504 0.7504 0.2562  3 Sm 2.82-2.84, 2 Nd 2.88, 1 Pr 2.89
S6 0.9144 0.5793 0.7433  3 Sm 2.83-2.84, 2 Nd 2.88, 1 Pr 2.90

Results
Formation energy without anion corrections   -2028 meV/atom
Total DFT energy (no corrections)   -77.58 eV per formula unit

---

The following is a DFT calculation (PBE-GGA) of a relaxed PrNdSm2S4 crystal.

a = 7.0216 Å, b = 4.0123 Å, c = 7.0489 Å
α = 90.00°, β = 109.05°, γ = 90.00°
Last column: nearest neighbours and their distance in Å.
Fractional coordinates of all 8 atoms:
Pr1 0.0000 0.0000 0.0000  6 S 2.90
Nd1 0.5000 0.5000 0.0000  6 S 2.89
Sm1 0.0000 0.5000 0.5000  6 S 2.84
Sm2 0.5000 0.0000 0.5000  6 S 2.83
S1 0.2491 0.0000 0.7432  3 Sm 2.83-2.84, 2 Nd 2.89, 1 Pr 2.90
S2 0.2541 0.5000 0.2579  3 Sm 2.83-2.84, 1 Nd 2.89, 2 Pr 2.90
S3 0.7459 0.5000 0.7421  3 Sm 2.83-2.84, 1 Nd 2.89, 2 Pr 2.90
S4 0.7509 0.0000 0.2568  3 Sm 2.83-2.84, 2 Nd 2.89, 1 Pr 2.90

Results
Formation energy without anion corrections   -2022 meV/atom
Total DFT energy (no corrections)   -51.67 eV per formula unit